No. 1
An optimized crystal structure of HoLuBe2, computed with PBE.

It has space group P4/mmm (No. 123), with a = 4.739 Å, b = 4.739 Å, c = 3.381 Å, α = 90.00°, β = 90.00° and γ = 90.00°. Symmetry generates all atoms from Ho at (0.000, 0.000, 0.000), Lu at (0.500, 0.500, 0.000) and Be at (0.000, 0.500, 0.500).

As for the total energy: -4.067 eV/atom. Its excess energy over the best structure of this formula in the dataset is 2 meV/atom. The magnetization is 0.0 μB/f.u.

No. 2
An optimized crystal structure of KRbBa2As, computed with PBE.

It has space group P4/mmm (No. 123), with a = 6.528 Å, b = 6.528 Å, c = 6.922 Å, α = 90.00°, β = 90.00° and γ = 90.00°. Symmetry generates all atoms from K at (0.000, 0.000, 0.000), Rb at (0.500, 0.500, 0.000), Ba at (0.000, 0.500, 0.500) and As at (0.000, 0.000, 0.500).

As for the total energy: -2.486 eV/atom. The magnetization is 0.0 μB/f.u.

No. 3
An optimized crystal structure of Ca2ScMn, computed with PBE.

It has space group I4/mmm (No. 139), with a = 4.710 Å, b = 4.710 Å, c = 10.112 Å, α = 90.00°, β = 90.00° and γ = 90.00°. Symmetry generates all atoms from Ca at (0.000, 0.500, 0.250), Sc at (0.000, 0.000, 0.000) and Mn at (0.000, 0.000, 0.500).

As for the total energy: -4.431 eV/atom. Its excess energy over the best structure of this formula in the dataset is 250 meV/atom. The magnetization is 2.3 μB/f.u.

No. 4
An optimized crystal structure of HfTi4Ir, computed with PBE.

It has space group C2/m (No. 12), with a = 9.789 Å, b = 4.545 Å, c = 5.542 Å, α = 90.00°, β = 123.32° and γ = 90.00°. Symmetry generates all atoms from Hf at (0.000, 0.000, 0.000), Ti at (0.157, 0.500, 0.818), Ti at (0.199, 0.500, 0.347) and Ir at (0.000, 0.000, 0.500).

As for the total energy: -8.776 eV/atom. The magnetization is 0.0 μB/f.u.

No. 5
An optimized crystal structure of LaTaAs2Br, computed with PBE.

It has space group P4/mmm (No. 123), with a = 5.648 Å, b = 5.648 Å, c = 5.440 Å, α = 90.00°, β = 90.00° and γ = 90.00°. Symmetry generates all atoms from La at (0.000, 0.000, 0.000), Ta at (0.500, 0.500, 0.500), As at (0.000, 0.500, 0.000) and Br at (0.000, 0.000, 0.500).

As for the total energy: -4.571 eV/atom. The formation energy (no corrections) is 4.9 eV per formula unit. Its excess energy over the best structure of this formula in the dataset is 1458 meV/atom. The magnetization is 2.3 μB/f.u.

No. 6
An optimized crystal structure of Sr2Y2Bi2P, computed with PBE.

It has space group I4/mmm (No. 139), with a = 5.280 Å, b = 5.280 Å, c = 17.293 Å, α = 90.00°, β = 90.00° and γ = 90.00°. Symmetry generates all atoms from Sr at (0.000, 0.000, 0.173), Y at (0.000, 0.500, 0.000), Bi at (0.000, 0.000, 0.372) and P at (0.000, 0.000, 0.000).

As for the total energy: -5.222 eV/atom. The magnetization is 0.0 μB/f.u.

No. 7
An optimized crystal structure of LiTb4Ru2, computed with PBE.

It has space group I-42d (No. 122), with a = 8.794 Å, b = 8.794 Å, c = 8.699 Å, α = 90.00°, β = 90.00° and γ = 90.00°. Symmetry generates all atoms from Li at (0.000, 0.000, 0.000), Tb at (0.069, 0.181, 0.334) and Ru at (0.172, 0.250, 0.625).

As for the total energy: -5.739 eV/atom. Its excess energy over the best structure of this formula in the dataset is 108 meV/atom. The magnetization is 0.0 μB/f.u.

No. 8
An optimized crystal structure of AlSiTcPt, computed with PBE.

It has space group F-43m (No. 216), with a = 6.033 Å, b = 6.033 Å, c = 6.033 Å, α = 90.00°, β = 90.00° and γ = 90.00°. Symmetry generates all atoms from Al at (0.000, 0.000, 0.000), Si at (0.000, 0.000, 0.500), Tc at (0.250, 0.250, 0.250) and Pt at (0.250, 0.250, 0.750).

As for the total energy: -6.970 eV/atom. The formation energy (no corrections) is -2.3 eV per formula unit. The magnetization is 0.0 μB/f.u.

No. 9
An optimized crystal structure of Zr2InP, computed with PBE.

It has space group Imm2 (No. 44), with a = 3.450 Å, b = 3.493 Å, c = 14.750 Å, α = 90.00°, β = 90.00° and γ = 90.00°. Symmetry generates all atoms from Zr at (0.000, 0.000, 0.000), Zr at (0.000, 0.500, 0.302), In at (0.000, 0.000, 0.633) and P at (0.000, 0.500, 0.869).

As for the total energy: -6.938 eV/atom. Its excess energy over the best structure of this formula in the dataset is 224 meV/atom. The magnetization is 0.0 μB/f.u.

No. 10
An optimized crystal structure of LiInBiF6, computed with PBE.

It has space group P-31c (No. 163), with a = 5.5956 Å, b = 5.5956 Å, c = 10.1609 Å, α = 90.00°, β = 90.00° and γ = 120.00°. Symmetry generates all atoms from Li at (0.3333, 0.6667, 0.2500), In at (0.3333, 0.6667, 0.7500), Bi at (0.0000, 0.0000, 0.0000) and F at (0.0245, 0.3494, 0.1331).

As for the total energy: -4.577 eV/atom. The formation energy (no corrections) is -21.4 eV per formula unit. The magnetization is 0.3 μB/f.u.

No. 11
An optimized crystal structure of ReTc2HPd, computed with PBE.

It has space group P4/mmm (No. 123), with a = 3.964 Å, b = 3.964 Å, c = 3.866 Å, α = 90.00°, β = 90.00° and γ = 90.00°. Symmetry generates all atoms from Re at (0.000, 0.000, 0.000), Tc at (0.000, 0.500, 0.500), H at (0.500, 0.500, 0.500) and Pd at (0.500, 0.500, 0.000).

As for the total energy: -8.229 eV/atom. Its excess energy over the best structure of this formula in the dataset is 0 meV/atom. The magnetization is 0.0 μB/f.u.

No. 12
An optimized crystal structure of NaPm3Sn3, computed with PBE.

It has space group C2/m (No. 12), with a = 7.991 Å, b = 12.072 Å, c = 8.664 Å, α = 90.00°, β = 93.16° and γ = 90.00°. Symmetry generates all atoms from Na at (0.186, 0.000, 0.031), Pm at (0.000, 0.294, 0.000), Pm at (0.000, 0.304, 0.500), Pm at (0.175, 0.000, 0.417), Sn at (0.019, 0.500, 0.246) and Sn at (0.179, 0.151, 0.739).

As for the total energy: -4.401 eV/atom. The magnetization is 0.0 μB/f.u.

No. 13
An optimized crystal structure of Li3TiSi, computed with PBE.

It has space group Pm-3m (No. 221), with a = 4.785 Å, b = 4.785 Å, c = 4.785 Å, α = 90.00°, β = 90.00° and γ = 90.00°. Symmetry generates all atoms from Li at (0.000, 0.000, 0.500), Ti at (0.000, 0.000, 0.000) and Si at (0.500, 0.500, 0.500).

As for the total energy: -2.601 eV/atom. The formation energy (no corrections) is 6.1 eV per formula unit. Its excess energy over the best structure of this formula in the dataset is 639 meV/atom. The magnetization is 2.5 μB/f.u.

No. 14
An optimized crystal structure of Sr2Cd5Si, computed with PBE.

It has space group Cmcm (No. 63), with a = 4.868 Å, b = 17.781 Å, c = 9.925 Å, α = 90.00°, β = 90.00° and γ = 90.00°. Symmetry generates all atoms from Sr at (0.000, 0.000, 0.000), Sr at (0.000, 0.193, 0.250), Cd at (0.000, 0.191, 0.605), Cd at (0.000, 0.357, 0.531), Cd at (0.000, 0.407, 0.250) and Si at (0.000, 0.445, 0.750).

As for the total energy: -1.931 eV/atom. The formation energy (no corrections) is -2.1 eV per formula unit. The magnetization is 0.0 μB/f.u.

No. 15
An optimized crystal structure of K3CaAs, computed with PBE.

It has space group Pm-3m (No. 221), with a = 6.871 Å, b = 6.871 Å, c = 6.871 Å, α = 90.00°, β = 90.00° and γ = 90.00°. Symmetry generates all atoms from K at (0.000, 0.000, 0.500), Ca at (0.000, 0.000, 0.000) and As at (0.500, 0.500, 0.500).

As for the total energy: -1.198 eV/atom. Its excess energy over the best structure of this formula in the dataset is 765 meV/atom. The magnetization is 0.0 μB/f.u.

No. 16
An optimized crystal structure of Tl2InPb5, computed with PBE.

It has space group P4/mmm (No. 123), with a = 7.265 Å, b = 7.265 Å, c = 5.770 Å, α = 90.00°, β = 90.00° and γ = 90.00°. Symmetry generates all atoms from Tl at (0.000, 0.500, 0.000), In at (0.000, 0.000, 0.500), Pb at (0.000, 0.000, 0.000) and Pb at (0.287, 0.287, 0.500).

As for the total energy: -2.968 eV/atom. Its excess energy over the best structure of this formula in the dataset is 243 meV/atom. The magnetization is 0.0 μB/f.u.

No. 17
An optimized crystal structure of Ce8OsPb2, computed with PBE.

It has space group C2/m (No. 12), with a = 25.590 Å, b = 5.167 Å, c = 4.481 Å, α = 90.00°, β = 97.55° and γ = 90.00°. Symmetry generates all atoms from Ce at (0.052, 0.000, 0.179), Ce at (0.070, 0.500, 0.584), Ce at (0.158, 0.500, 0.246), Ce at (0.242, 0.500, 0.711), Os at (0.000, 0.500, 0.000) and Pb at (0.155, 0.000, 0.737).

As for the total energy: -6.228 eV/atom. Its excess energy over the best structure of this formula in the dataset is 12 meV/atom. The magnetization is 4.5 μB/f.u.

No. 18
An optimized crystal structure of Zn3NiC, computed with PBE.

It has space group Pm-3m (No. 221), with a = 4.513 Å, b = 4.513 Å, c = 4.513 Å, α = 90.00°, β = 90.00° and γ = 90.00°. Symmetry generates all atoms from Zn at (0.000, 0.000, 0.500), Ni at (0.000, 0.000, 0.000) and C at (0.500, 0.500, 0.500).

As for the total energy: -2.308 eV/atom. Its excess energy over the best structure of this formula in the dataset is 796 meV/atom. The magnetization is 1.5 μB/f.u.

No. 19
An optimized crystal structure of RbTe2SI, computed with PBE.

It has space group P4/mmm (No. 123), with a = 5.481 Å, b = 5.481 Å, c = 5.774 Å, α = 90.00°, β = 90.00° and γ = 90.00°. Symmetry generates all atoms from Rb at (0.000, 0.000, 0.000), Te at (0.000, 0.500, 0.500), S at (0.500, 0.500, 0.500) and I at (0.500, 0.500, 0.000).

As for the total energy: -2.750 eV/atom. The formation energy (no corrections) is -0.8 eV per formula unit. Its excess energy over the best structure of this formula in the dataset is 0 meV/atom. The magnetization is 0.3 μB/f.u.

No. 20
An optimized crystal structure of Pm2Be2Ge3, computed with PBE.

It has space group Cmcm (No. 63), with a = 3.991 Å, b = 19.099 Å, c = 6.965 Å, α = 90.00°, β = 90.00° and γ = 90.00°. Symmetry generates all atoms from Pm at (0.000, 0.045, 0.250), Pm at (0.000, 0.174, 0.750), Be at (0.000, 0.338, 0.599), Ge at (0.000, 0.205, 0.250) and Ge at (0.000, 0.435, 0.072).

As for the total energy: -4.884 eV/atom. The magnetization is 0.0 μB/f.u.